Entry 1:
PBE TlOs2Ru, relaxed; SG = I4/mmm (139); ΔE to the lowest computed polymorph = 0.307 eV/atom; total magnetic moment = 0.0 μB/f.u.; theoretical density = 17.876 g/cm3
1.0
3.898 0.000 0.000
0.000 3.898 0.000
0.000 0.000 8.387
Tl Os Ru
2 4 2
direct
0.000 0.000 0.000 Tl
0.500 0.500 0.500 Tl
0.000 0.500 0.250 Os
0.000 0.500 0.750 Os
0.500 0.000 0.250 Os
0.500 0.000 0.750 Os
0.000 0.000 0.500 Ru
0.500 0.500 0.000 Ru

=====

Entry 2:
PBE TlOs2Ru, relaxed; SG = C2/m (12); ΔE to the lowest computed polymorph = 0.169 eV/atom; total magnetic moment = 0.0 μB/f.u.; theoretical density = 17.638 g/cm3
1.0
9.377 0.000 0.000
0.000 2.854 0.000
-0.840 0.000 4.826
Tl Os Ru
2 4 2
direct
0.000 0.000 0.000 Tl
0.500 0.500 0.000 Tl
0.235 0.000 0.718 Os
0.265 0.500 0.282 Os
0.735 0.500 0.718 Os
0.765 0.000 0.282 Os
0.000 0.500 0.500 Ru
0.500 0.000 0.500 Ru

=====

Entry 3:
PBE TlOs2Ru, relaxed; SG = Cmm2 (35); ΔE to the lowest computed polymorph = 0.398 eV/atom; total magnetic moment = 0.1 μB/f.u.; theoretical density = 17.051 g/cm3
1.0
2.841 0.000 0.000
0.000 4.929 0.000
0.000 0.000 9.538
Tl Os Ru
2 4 2
direct
0.000 0.000 0.000 Tl
0.500 0.500 0.000 Tl
0.000 0.000 0.505 Os
0.000 0.500 0.276 Os
0.500 0.000 0.276 Os
0.500 0.500 0.505 Os
0.000 0.500 0.735 Ru
0.500 0.000 0.735 Ru